Record 1
Material: ScNb2F
Method: DFT, PBE-GGA
State: relaxed

## Properties
Raw formation energy (meV per atom): 269
Magnetic moment (μB/f.u.): 0.00
Relative energy among the computed polymorphs (meV/atom): 0
Fermi-level density of states (states/eV per atom): 0.8657

CIF file:
```
data_ScNb2F
_chemical_formula_sum 'Sc4 Nb8 F4'
_symmetry_space_group_name_H-M 'I -4 2 d'
_symmetry_Int_Tables_number 122
_symmetry_space_group_name_Hall 'I -4 2bw'
_cell_length_a 5.2126
_cell_length_b 5.2126
_cell_length_c 13.0650
_cell_angle_alpha 90.00
_cell_angle_beta 90.00
_cell_angle_gamma 90.00
loop_
_atom_site_label
_atom_site_fract_x
_atom_site_fract_y
_atom_site_fract_z
Sc1 0.0000 0.0000 0.0000
Nb1 0.0142 0.7500 0.6250
F1 0.0000 0.0000 0.5000
```

Record 2
Material: Dy2Er2Pt3
Method: DFT, PBE-GGA
State: relaxed

## Properties
Magnetic moment (μB/f.u.): 0.00
ΔH_f (0 K) (kJ per mole of atoms): -109.09
Fermi-level density of states (states/eV per atom): 0.4345

CIF file:
```
data_Dy2Er2Pt3
_chemical_formula_sum 'Dy8 Er8 Pt12'
_symmetry_space_group_name_H-M 'I 21 3'
_symmetry_Int_Tables_number 199
_symmetry_space_group_name_Hall 'I 2b 2c 3'
_cell_length_a 8.6921
_cell_length_b 8.6921
_cell_length_c 8.6921
_cell_angle_alpha 90.00
_cell_angle_beta 90.00
_cell_angle_gamma 90.00
loop_
_atom_site_label
_atom_site_fract_x
_atom_site_fract_y
_atom_site_fract_z
Dy1 0.1863 0.1863 0.1863
Er1 0.0634 0.4366 0.5634
Pt1 0.0000 0.2500 0.8727
```

Record 3
Material: Nd6Ge2As3Se
Method: DFT, PBE-GGA
State: relaxed

## Properties
Raw formation energy (meV per atom): -1334
Magnetic moment (μB/f.u.): 0.00
Fermi-level density of states (states/eV per atom): 0.3888

CIF file:
```
data_Nd6Ge2As3Se
_chemical_formula_sum 'Nd12 Ge4 As6 Se2'
_symmetry_space_group_name_H-M 'C 1 2/m 1'
_symmetry_Int_Tables_number 12
_cell_length_a 18.6552
_cell_length_b 4.2453
_cell_length_c 8.6045
_cell_angle_alpha 90.00
_cell_angle_beta 103.31
_cell_angle_gamma 90.00
loop_
_symmetry_equiv_pos_as_xyz
'x,y,z'
'-x,-y,-z'
'-x,y,-z'
'x,-y,z'
'x+1/2,y+1/2,z'
'-x+1/2,-y+1/2,-z'
'-x+1/2,y+1/2,-z'
'x+1/2,-y+1/2,z'
loop_
_atom_site_label
_atom_site_fract_x
_atom_site_fract_y
_atom_site_fract_z
Nd1 0.9997 0.0000 0.2446
Nd2 0.1660 0.5000 0.0863
Nd3 0.1675 0.5000 0.5819
Ge1 0.1662 0.0000 0.8326
As1 0.0000 0.5000 0.0000
As2 0.1649 0.0000 0.3341
Se1 0.0000 0.5000 0.5000
```

Record 4
Material: Ag3AsRh
Method: DFT, PBE-GGA
State: relaxed

## Properties
Magnetic moment (μB/f.u.): 0.88
ΔH_f (0 K) (kJ per mole of atoms): 77.86
Relative energy among the computed polymorphs (meV/atom): 0
Fermi-level density of states (states/eV per atom): 1.6203

CIF file:
```
data_Ag3AsRh
_chemical_formula_sum 'Ag3 As1 Rh1'
_symmetry_space_group_name_H-M 'P m -3 m'
_symmetry_Int_Tables_number 221
_symmetry_space_group_name_Hall '-P 4 2 3'
_cell_length_a 4.8034
_cell_length_b 4.8034
_cell_length_c 4.8034
_cell_angle_alpha 90.00
_cell_angle_beta 90.00
_cell_angle_gamma 90.00
loop_
_atom_site_label
_atom_site_fract_x
_atom_site_fract_y
_atom_site_fract_z
Ag1 0.0000 0.0000 0.5000
As1 0.0000 0.0000 0.0000
Rh1 0.5000 0.5000 0.5000
```